(1)
The following is a PBE calculation of a geometry-optimized NaLiSbAu structure, from Alexandria.

Cell lengths 4.8484, 4.8484, 4.8484 Å; angles 60.00, 60.00, 60.00 degrees
Closest atoms and distances in Å follow each position.
Atoms (fractional coordinates):
Na 0.0000 0.0000 0.0000  4 Li 2.97, 4 Au 2.97
Li 0.7500 0.7500 0.7500  4 Sb 2.97, 4 Na 2.97
Sb 0.5000 0.5000 0.5000  4 Au 2.97, 4 Li 2.97
Au 0.2500 0.2500 0.2500  4 Sb 2.97, 4 Na 2.97

Summary:
D(E_F), states/eV/f.u.: 1.0
Formation energy (no corrections), kcal/mol of atoms: -9.760
Space-group type: F-43m
Total moment, μB per cell: 0.0
Total energy, eV/cell: -12.33

(2)
The following is a PBE calculation of a geometry-optimized Na2LiSb4Au3 structure, from Alexandria.

Cell lengths 4.6020, 4.6020, 11.9379 Å; angles 90.00, 90.00, 90.00 degrees
Closest atoms and distances in Å follow each position.
Atoms (fractional coordinates):
Na 0.0000 0.5000 0.2329  4 Sb 3.47, 6 Au 3.57-3.61, 2 Li 3.61
Na 0.5000 0.0000 0.7671  4 Sb 3.47, 6 Au 3.57-3.61, 2 Li 3.61
Li 0.5000 0.5000 0.0000  4 Sb 2.79
Sb 0.0000 0.0000 0.5000  4 Au 2.88
Sb 0.0000 0.5000 0.8673  3 Au 2.65-2.79, 2 Li 2.79
Sb 0.5000 0.0000 0.1327  3 Au 2.65-2.79, 2 Li 2.79
Sb 0.5000 0.5000 0.5000  4 Au 2.88
Au 0.0000 0.0000 0.0000  4 Sb 2.79
Au 0.0000 0.5000 0.6451  5 Sb 2.65-2.88
Au 0.5000 0.0000 0.3549  5 Sb 2.65-2.88

Summary:
D(E_F), states/eV/f.u.: 2.9
Formation energy (no corrections), kcal/mol of atoms: -6.549
Space-group type: P-4m2
Total moment, μB per cell: 0.0
Total energy, eV/cell: -33.71

(3)
The following is a PBE calculation of a geometry-optimized NaLiAuSe2 structure, from Alexandria.

Cell lengths 6.2721, 5.5448, 6.9401 Å; angles 90.00, 107.19, 90.00 degrees
Closest atoms and distances in Å follow each position.
Atoms (fractional coordinates):
Na 0.0000 0.1865 0.2500  6 Se 2.99-3.18, 2 Au 3.27
Na 0.0000 0.8135 0.7500  6 Se 2.99-3.18, 2 Au 3.27
Li 0.5000 0.4596 0.7500  4 Se 2.61-2.73
Li 0.5000 0.5404 0.2500  4 Se 2.61-2.73
Au 0.5000 0.0000 0.0000  2 Se 2.44
Au 0.5000 0.0000 0.5000  2 Se 2.44
Se 0.2129 0.3108 0.9300  1 Au 2.44, 2 Li 2.61-2.73
Se 0.2129 0.6892 0.4300  1 Au 2.44, 2 Li 2.61-2.73
Se 0.7871 0.3108 0.5700  1 Au 2.44, 2 Li 2.61-2.73
Se 0.7871 0.6892 0.0700  1 Au 2.44, 2 Li 2.61-2.73

Summary:
D(E_F), states/eV/f.u.: 1.8
Formation energy (no corrections), kcal/mol of atoms: -14.902
Space-group type: P2/c
Total moment, μB per cell: 0.0
Total energy, eV/cell: -33.42

(4)
The following is a PBE calculation of a geometry-optimized Na2LiSi3Au12 structure, from Alexandria.

Cell lengths 7.8379, 7.8379, 7.8379 Å; angles 67.10, 67.10, 67.10 degrees
Closest atoms and distances in Å follow each position.
Atoms (fractional coordinates):
Na 0.1014 0.1014 0.1014  6 Au 3.03
Na 0.8986 0.8986 0.8986  6 Au 3.03
Li 0.5000 0.5000 0.5000  6 Au 2.61
Si 0.0000 0.5000 0.5000  6 Au 2.43-2.45
Si 0.5000 0.0000 0.5000  6 Au 2.43-2.45
Si 0.5000 0.5000 0.0000  6 Au 2.43-2.45
Au 0.1291 0.6366 0.6366  1 Si 2.43, 1 Li 2.61
Au 0.1537 0.1537 0.6094  2 Si 2.45
Au 0.1537 0.6094 0.1537  2 Si 2.45
Au 0.3634 0.3634 0.8709  1 Si 2.43, 1 Li 2.61
Au 0.3634 0.8709 0.3634  1 Si 2.43, 1 Li 2.61
Au 0.3906 0.8463 0.8463  2 Si 2.45
Au 0.6094 0.1537 0.1537  2 Si 2.45
Au 0.6366 0.1291 0.6366  1 Si 2.43, 1 Li 2.61
Au 0.6366 0.6366 0.1291  1 Si 2.43, 1 Li 2.61
Au 0.8463 0.3906 0.8463  2 Si 2.45
Au 0.8463 0.8463 0.3906  2 Si 2.45
Au 0.8709 0.3634 0.3634  1 Si 2.43, 1 Li 2.61

Summary:
D(E_F), states/eV/f.u.: 7.0
Formation energy (no corrections), kcal/mol of atoms: 0.023
Space-group type: R-3m
Total moment, μB per cell: 0.0
Total energy, eV/cell: -60.13

(5)
The following is a PBE calculation of a geometry-optimized Na2LiSi2Au5 structure, from Alexandria.

Cell lengths 10.5188, 10.5188, 3.3366 Å; angles 90.00, 90.00, 90.00 degrees
Closest atoms and distances in Å follow each position.
Atoms (fractional coordinates):
Na 0.1730 0.3270 0.0000  3 Si 2.90-3.24, 2 Au 3.07
Na 0.3270 0.8270 0.0000  3 Si 2.90-3.24, 2 Au 3.07
Na 0.6730 0.1730 0.0000  3 Si 2.90-3.24, 2 Au 3.07
Na 0.8270 0.6730 0.0000  3 Si 2.90-3.24, 2 Au 3.07
Li 0.0000 0.0000 0.0000  8 Au 2.72
Li 0.5000 0.5000 0.0000  8 Au 2.72
Si 0.1320 0.6320 0.0000  6 Au 2.58
Si 0.3680 0.1320 0.0000  6 Au 2.58
Si 0.6320 0.8680 0.0000  6 Au 2.58
Si 0.8680 0.3680 0.0000  6 Au 2.58
Au 0.0000 0.5000 0.5000  4 Si 2.58
Au 0.0623 0.8060 0.5000  2 Si 2.58, 2 Li 2.72
Au 0.1940 0.0623 0.5000  2 Si 2.58, 2 Li 2.72
Au 0.3060 0.5623 0.5000  2 Si 2.58, 2 Li 2.72
Au 0.4377 0.3060 0.5000  2 Si 2.58, 2 Li 2.72
Au 0.5000 0.0000 0.5000  4 Si 2.58
Au 0.5623 0.6940 0.5000  2 Si 2.58, 2 Li 2.72
Au 0.6940 0.4377 0.5000  2 Si 2.58, 2 Li 2.72
Au 0.8060 0.9377 0.5000  2 Si 2.58, 2 Li 2.72
Au 0.9377 0.1940 0.5000  2 Si 2.58, 2 Li 2.72

Summary:
D(E_F), states/eV/f.u.: 2.3
Formation energy (no corrections), kcal/mol of atoms: -5.713
Space-group type: P4/mbm
Total moment, μB per cell: 0.0
Total energy, eV/cell: -68.52

(6)
The following is a PBE calculation of a geometry-optimized NaLi2Si2Au2 structure, from Alexandria.

Cell lengths 4.3835, 4.3835, 7.8642 Å; angles 106.53, 106.53, 60.61 degrees
Closest atoms and distances in Å follow each position.
Atoms (fractional coordinates):
Na 0.0000 0.0000 0.0000  2 Li 2.94, 6 Au 3.20-3.21
Li 0.1314 0.1314 0.3964  4 Au 2.53-2.73, 3 Si 2.57-2.61
Li 0.8686 0.8686 0.6036  4 Au 2.53-2.73, 3 Si 2.57-2.61
Si 0.4392 0.4392 0.3250  3 Li 2.57-2.61, 3 Au 2.58, 1 Si 2.60
Si 0.5608 0.5608 0.6750  3 Li 2.57-2.61, 3 Au 2.58, 1 Si 2.60
Au 0.2473 0.2473 0.7372  4 Li 2.53-2.73, 3 Si 2.58
Au 0.7527 0.7527 0.2628  4 Li 2.53-2.73, 3 Si 2.58

Summary:
D(E_F), states/eV/f.u.: 1.8
Formation energy (no corrections), kcal/mol of atoms: -7.795
Space-group type: C2/m
Total moment, μB per cell: 0.0
Total energy, eV/cell: -24.91

(7)
The following is a PBE calculation of a geometry-optimized NaLiSmAu structure, from Alexandria.

Cell lengths 5.0823, 5.0823, 5.0823 Å; angles 60.00, 60.00, 60.00 degrees
Closest atoms and distances in Å follow each position.
Atoms (fractional coordinates):
Na 0.0000 0.0000 0.0000  4 Li 3.11, 4 Au 3.11
Li 0.7500 0.7500 0.7500  4 Na 3.11, 4 Sm 3.11
Sm 0.5000 0.5000 0.5000  4 Li 3.11, 4 Au 3.11
Au 0.2500 0.2500 0.2500  4 Na 3.11, 4 Sm 3.11

Summary:
D(E_F), states/eV/f.u.: 3.4
Space-group type: F-43m
Energy of formation from the pure elements, eV per atom: -0.23
Total moment, μB per cell: 0.0
Total energy, eV/cell: -12.14

(8)
The following is a PBE calculation of a geometry-optimized NaLi2Sn2Au2 structure, from Alexandria.

Cell lengths 4.7876, 4.7876, 7.7537 Å; angles 107.94, 107.94, 59.73 degrees
Closest atoms and distances in Å follow each position.
Atoms (fractional coordinates):
Na 0.0000 0.0000 0.0000  2 Li 2.98, 6 Au 3.22-3.25
Li 0.1370 0.1370 0.4107  1 Au 2.60
Li 0.8630 0.8630 0.5893  1 Au 2.60
Sn 0.4250 0.4250 0.2785  3 Au 2.78, 3 Li 2.92
Sn 0.5750 0.5750 0.7215  3 Au 2.78, 3 Li 2.92
Au 0.2582 0.2582 0.7690  1 Li 2.60, 3 Sn 2.78
Au 0.7418 0.7418 0.2310  1 Li 2.60, 3 Sn 2.78

Summary:
D(E_F), states/eV/f.u.: 1.9
Space-group type: C2/m
Energy of formation from the pure elements, eV per atom: -0.44
Total moment, μB per cell: 0.0
Total energy, eV/cell: -22.76

(9)
The following is a PBE calculation of a geometry-optimized Na2LiSn4Au3 structure, from Alexandria.

Cell lengths 4.5758, 4.5758, 11.9287 Å; angles 90.00, 90.00, 90.00 degrees
Closest atoms and distances in Å follow each position.
Atoms (fractional coordinates):
Na 0.0000 0.5000 0.2388  8 Sn 3.48-3.87, 6 Au 3.53-3.65, 2 Li 3.65
Na 0.5000 0.0000 0.7612  8 Sn 3.48-3.87, 6 Au 3.53-3.65, 2 Li 3.65
Li 0.5000 0.5000 0.0000  4 Sn 2.78
Sn 0.0000 0.0000 0.5000  4 Au 2.86
Sn 0.0000 0.5000 0.8680  3 Au 2.68-2.78, 2 Li 2.78
Sn 0.5000 0.0000 0.1320  3 Au 2.68-2.78, 2 Li 2.78
Sn 0.5000 0.5000 0.5000  4 Au 2.86
Au 0.0000 0.0000 0.0000  4 Sn 2.78
Au 0.0000 0.5000 0.6437  5 Sn 2.68-2.86
Au 0.5000 0.0000 0.3563  5 Sn 2.68-2.86

Summary:
D(E_F), states/eV/f.u.: 2.9
Space-group type: P-4m2
Energy of formation from the pure elements, eV per atom: -0.24
Total moment, μB per cell: 0.0
Total energy, eV/cell: -32.82

(10)
The following is a PBE calculation of a geometry-optimized NaLiSn2Au4 structure, from Alexandria.

Cell lengths 8.5372, 8.5372, 8.5372 Å; angles 32.44, 32.44, 32.44 degrees
Closest atoms and distances in Å follow each position.
Atoms (fractional coordinates):
Na 0.0000 0.0000 0.0000  8 Au 3.05-3.23, 6 Sn 3.40
Li 0.5000 0.5000 0.5000  8 Au 2.72-2.87
Sn 0.2513 0.2513 0.2513  7 Au 2.83-3.02
Sn 0.7487 0.7487 0.7487  7 Au 2.83-3.02
Au 0.1333 0.1333 0.1333  4 Sn 2.86-3.02, 3 Li 2.87, 3 Au 3.19
Au 0.3877 0.3877 0.3877  1 Li 2.72, 3 Sn 2.83
Au 0.6123 0.6123 0.6123  1 Li 2.72, 3 Sn 2.83
Au 0.8667 0.8667 0.8667  4 Sn 2.86-3.02, 3 Li 2.87, 3 Au 3.19

Summary:
D(E_F), states/eV/f.u.: 1.5
Space-group type: R-3m
Energy of formation from the pure elements, eV per atom: -0.33
Total moment, μB per cell: 0.0
Total energy, eV/cell: -27.01

(11)
The following is a PBE calculation of a geometry-optimized NaLiSn4Au2 structure, from Alexandria.

Cell lengths 4.8107, 4.8107, 8.7221 Å; angles 90.00, 90.00, 90.00 degrees
Closest atoms and distances in Å follow each position.
Atoms (fractional coordinates):
Na 0.0000 0.0000 0.0000  8 Au 3.66, 8 Sn 3.69
Li 0.0000 0.0000 0.5000  8 Sn 2.87
Sn 0.0000 0.5000 0.3214  2 Au 2.81, 2 Li 2.87, 1 Sn 3.12
Sn 0.0000 0.5000 0.6786  2 Au 2.81, 2 Li 2.87, 1 Sn 3.12
Sn 0.5000 0.0000 0.3214  2 Au 2.81, 2 Li 2.87, 1 Sn 3.12
Sn 0.5000 0.0000 0.6786  2 Au 2.81, 2 Li 2.87, 1 Sn 3.12
Au 0.5000 0.5000 0.1557  1 Au 2.72, 4 Sn 2.81
Au 0.5000 0.5000 0.8443  1 Au 2.72, 4 Sn 2.81

Summary:
D(E_F), states/eV/f.u.: 2.2
Space-group type: P4/mmm
Energy of formation from the pure elements, eV per atom: -0.18
Total moment, μB per cell: 0.0
Total energy, eV/cell: -27.25

(12)
The following is a PBE calculation of a geometry-optimized Na2SrLiAu structure, from Alexandria.

Cell lengths 5.6881, 5.6881, 5.1046 Å; angles 90.00, 90.00, 90.00 degrees
Closest atoms and distances in Å follow each position.
Atoms (fractional coordinates):
Na 0.0000 0.5000 0.0000  2 Au 2.84
Na 0.5000 0.0000 0.0000  2 Au 2.84
Sr 0.0000 0.0000 0.5000  8 Na 3.82, 4 Li 4.02
Li 0.5000 0.5000 0.5000  2 Au 2.55
Au 0.5000 0.5000 0.0000  2 Li 2.55, 4 Na 2.84

Summary:
D(E_F), states/eV/f.u.: 2.6
Space-group type: P4/mmm
Energy of formation from the pure elements, eV per atom: -0.09
Total moment, μB per cell: 0.0
Total energy, eV/cell: -9.94